Compound: Li2CoCO4
Source: the Alexandria database
Functional: PBE+U
Structure: optimized geometry

abc: 6.8791 5.0226 10.6728
angles: 90.00 97.69 90.00
Space group P2_1/c (No. 14)
Unique sites:
Li: 0.1219 0.1537 0.2864 (multiplicity 4)
Li: 0.2268 0.1889 0.5699 (multiplicity 4)
Co: 0.4947 0.6454 0.6567 (multiplicity 4)
C: 0.1920 0.6908 0.4341 (multiplicity 4)
O: 0.0498 0.6927 0.8627 (multiplicity 4)
O: 0.2277 0.0630 0.9192 (multiplicity 4)
O: 0.2983 0.6733 0.0211 (multiplicity 4)
O: 0.3593 0.1441 0.2151 (multiplicity 4)

mass density = 2.70 g/cm³
DFT total energy = -6.345 eV/atom